First-principles (PBE) data for crystalline Ta4CoP at its relaxed geometry, as listed in OQMD via LeMat-Bulk.

```
Ta4CoP
1.0
6.132 0.000 0.000
0.000 6.132 0.000
0.000 0.000 4.994
Ta Co P
8 2 2
Cartesian
0.965 2.040 0.000
0.965 4.092 2.497
2.040 0.965 2.497
2.040 5.166 0.000
4.092 0.965 0.000
4.092 5.166 2.497
5.166 2.040 2.497
5.166 4.092 0.000
0.000 0.000 1.249
0.000 0.000 3.746
3.066 3.066 1.249
3.066 3.066 3.746
```

Values from the calculation:
As for the space group: P4/mcc (124). The energy comes out at -10.4552 eV per atom.